Entry 1:
Density functional theory data (PBE) for a relaxed structure of Cu3PbBr.

a = 5.060 Å, b = 5.060 Å, c = 5.060 Å
α = 90.00°, β = 90.00°, γ = 90.00°
Sites, in units of the cell vectors:
Pb (0.000, 0.000, 0.000)
Br (0.500, 0.500, 0.500)
Cu (0.000, 0.000, 0.500)
Cu (0.000, 0.500, 0.000)
Cu (0.500, 0.000, 0.000)

- distance to the lowest polymorph of the same formula (meV per atom) = 58
- formation energy without anion corrections (meV per atom) = 833
- density (g/cm3) = 6.122

Entry 2:
Density functional theory data (PBE) for a relaxed structure of CsHRhS.

a = 4.561 Å, b = 4.326 Å, c = 10.981 Å
α = 90.00°, β = 91.32°, γ = 90.00°
Sites, in units of the cell vectors:
Cs (0.516, 0.000, 0.832)
Cs (0.516, 0.500, 0.332)
Rh (0.044, 0.000, 0.094)
Rh (0.044, 0.500, 0.594)
S (0.995, 0.000, 0.584)
S (0.995, 0.500, 0.084)
H (0.388, 0.000, 0.115)
H (0.388, 0.500, 0.615)

- distance to the lowest polymorph of the same formula (meV per atom) = 18
- density (g/cm3) = 4.122

Question: What is the formula in the first record?
Answer: Cu3PbBr

Question: Which of these has the highest distance to the lowest polymorph of the same formula?
Answer: Cu3PbBr